{"formula": "SrCaP2", "functional": "PBE", "state": "optimized geometry", "sg": "No. 123", "m_tot_mub_per_cell": 0.00, "mass_density_g_cm3": 3.33, "final_energy_ry_per_atom": -0.3193, "lattice": [[4.888, 0.000, 0.000], [0.000, 4.890, 0.000], [0.000, 0.000, 3.958]], "species": ["Ca", "P", "P", "Sr"], "frac_coords": [[0.000, 0.500, 0.500], [0.500, 0.500, 0.000], [0.000, 0.000, 0.000], [0.500, 0.000, 0.500]]}

***

{"formula": "ZrHg2GePt", "functional": "PBE", "state": "optimized geometry", "sg": "No. 123", "m_tot_mub_per_cell": 0.00, "mass_density_g_cm3": 10.65, "final_energy_ry_per_atom": -0.2566, "lattice": [[-1.065, -1.331, 4.769], [1.641, -4.243, -0.818], [4.613, 1.505, 1.450]], "species": ["Ge", "Pt", "Hg", "Hg", "Zr"], "frac_coords": [[0.000, 0.000, 0.000], [0.000, 0.500, 0.000], [0.000, 0.000, 0.500], [0.500, 0.000, 0.000], [0.500, 0.500, 0.500]]}